Record 1
A plane-wave DFT calculation with GGA-PBE was carried out for SrTh2MnN5 after structural relaxation.

Calculated values
Formation energy without anion corrections: -1.1353 eV/atom

Lattice parameters (Å, degrees): 7.401 7.401 7.401 124.39 124.39 82.55
Fractional coordinates of all 18 atoms:
Sr 0.250 0.250 0.000
Sr 0.750 0.750 0.000
Th 0.182 0.682 0.864
Th 0.318 0.182 0.500
Th 0.682 0.818 0.500
Th 0.818 0.318 0.136
Mn 0.250 0.750 0.500
Mn 0.750 0.250 0.500
N 0.000 0.000 0.000
N 0.008 0.780 0.500
N 0.220 0.720 0.227
N 0.280 0.508 0.500
N 0.492 0.992 0.773
N 0.500 0.500 0.000
N 0.508 0.008 0.227
N 0.720 0.492 0.500
N 0.780 0.280 0.773
N 0.992 0.220 0.500

=====

Record 2
A plane-wave DFT calculation with GGA-PBE was carried out for LiGeAs3 after structural relaxation.

Calculated values
Energy relative to the elements: 0.534 eV per atom
Energy relative to the lowest polymorph listed for this composition: 0 meV/atom

Lattice parameters (Å, degrees): 5.006 5.006 5.006 90.00 90.00 90.00
Fractional coordinates of all 5 atoms:
Li 0.000 0.000 0.000
Ge 0.500 0.500 0.500
As 0.000 0.500 0.500
As 0.500 0.000 0.500
As 0.500 0.500 0.000

=====

Record 3
A plane-wave DFT calculation with GGA-PBE was carried out for LuMgScPt after structural relaxation.

Calculated values
Energy relative to the elements: -0.635 eV per atom

Lattice parameters (Å, degrees): 4.887 4.887 4.887 60.00 60.00 60.00
Fractional coordinates of all 4 atoms:
Lu 0.000 0.000 0.000
Mg 0.750 0.750 0.750
Sc 0.500 0.500 0.500
Pt 0.250 0.250 0.250

=====

Record 4
A plane-wave DFT calculation with GGA-PBE was carried out for Zr2MnW after structural relaxation.

Calculated values
Energy relative to the elements: 0.322 eV per atom
Energy relative to the lowest polymorph listed for this composition: 275 meV/atom

Lattice parameters (Å, degrees): 9.217 9.217 9.217 19.13 19.13 19.13
Fractional coordinates of all 4 atoms:
Zr 0.000 0.000 0.000
Zr 0.232 0.232 0.232
Mn 0.746 0.746 0.746
W 0.475 0.475 0.475

=====

Record 5
A plane-wave DFT calculation with GGA-PBE was carried out for Nd5RuCl5 after structural relaxation.

Calculated values
Formation energy without anion corrections: -1.3840 eV/atom

Lattice parameters (Å, degrees): 6.926 6.926 8.645 106.86 106.86 49.48
Fractional coordinates of all 11 atoms:
Nd 0.000 0.000 0.000
Nd 0.328 0.328 0.140
Nd 0.349 0.349 0.701
Nd 0.651 0.651 0.299
Nd 0.672 0.672 0.860
Ru 0.500 0.500 0.000
Cl 0.143 0.143 0.783
Cl 0.169 0.169 0.361
Cl 0.500 0.500 0.500
Cl 0.831 0.831 0.639
Cl 0.857 0.857 0.217

=====

Record 6
A plane-wave DFT calculation with GGA-PBE was carried out for Ba2Zn7Ni2 after structural relaxation.

Calculated values
Energy relative to the elements: -0.164 eV per atom

Lattice parameters (Å, degrees): 4.876 6.906 7.167 103.10 92.14 91.78
Fractional coordinates of all 11 atoms:
Ba 0.002 0.324 0.207
Ba 0.998 0.676 0.793
Zn 0.096 0.882 0.344
Zn 0.483 0.336 0.880
Zn 0.498 0.683 0.481
Zn 0.500 0.000 0.000
Zn 0.502 0.317 0.519
Zn 0.517 0.664 0.120
Zn 0.904 0.118 0.656
Ni 0.391 0.025 0.663
Ni 0.609 0.975 0.337

=====

Record 7
A plane-wave DFT calculation with GGA-PBE was carried out for LaTa2SeI after structural relaxation.

Calculated values
Formation energy without anion corrections: 1.3305 eV/atom

Lattice parameters (Å, degrees): 4.986 4.986 6.041 90.00 90.00 90.00
Fractional coordinates of all 5 atoms:
La 0.000 0.000 0.000
Ta 0.000 0.500 0.500
Ta 0.500 0.000 0.500
Se 0.500 0.500 0.000
I 0.000 0.000 0.500

=====

Record 8
A plane-wave DFT calculation with GGA-PBE was carried out for K3In3Sn8 after structural relaxation.

Calculated values
Energy relative to the elements: -0.123 eV per atom

Lattice parameters (Å, degrees): 9.999 9.999 9.999 151.62 106.83 80.25
Fractional coordinates of all 14 atoms:
K 0.000 0.000 0.000
K 0.298 0.298 0.000
K 0.702 0.702 0.000
In 0.318 0.500 0.818
In 0.500 0.000 0.500
In 0.682 0.500 0.182
Sn 0.012 0.648 0.363
Sn 0.132 0.844 0.288
Sn 0.285 0.648 0.637
Sn 0.444 0.156 0.288
Sn 0.556 0.844 0.712
Sn 0.715 0.352 0.363
Sn 0.868 0.156 0.712
Sn 0.988 0.352 0.637

=====

Record 9
A plane-wave DFT calculation with GGA-PBE was carried out for Ga3TcPt after structural relaxation.

Calculated values
Energy relative to the elements: 0.553 eV per atom
Energy relative to the lowest polymorph listed for this composition: 0 meV/atom

Lattice parameters (Å, degrees): 4.724 4.724 4.724 90.00 90.00 90.00
Fractional coordinates of all 5 atoms:
Ga 0.000 0.000 0.500
Ga 0.000 0.500 0.000
Ga 0.500 0.000 0.000
Tc 0.000 0.000 0.000
Pt 0.500 0.500 0.500

=====

Record 10
A plane-wave DFT calculation with GGA-PBE was carried out for Rb3BaIr after structural relaxation.

Calculated values
Energy relative to the elements: 0.781 eV per atom

Lattice parameters (Å, degrees): 6.604 6.604 6.604 90.00 90.00 90.00
Fractional coordinates of all 5 atoms:
Rb 0.000 0.000 0.500
Rb 0.000 0.500 0.000
Rb 0.500 0.000 0.000
Ba 0.500 0.500 0.500
Ir 0.000 0.000 0.000

=====

Record 11
A plane-wave DFT calculation with GGA-PBE was carried out for RhSeBr2 after structural relaxation.

Calculated values
Formation energy without anion corrections: 0.1276 eV/atom
Energy relative to the lowest polymorph listed for this composition: 383 meV/atom

Lattice parameters (Å, degrees): 4.145 4.145 9.193 90.00 90.00 129.39
Fractional coordinates of all 4 atoms:
Rh 0.000 0.000 0.000
Se 0.500 0.500 0.160
Br 0.000 0.000 0.421
Br 0.500 0.500 0.802

=====

Record 12
A plane-wave DFT calculation with GGA-PBE was carried out for TmCuIrO6 after structural relaxation.

Calculated values
Formation energy without anion corrections: -1.2514 eV/atom

Lattice parameters (Å, degrees): 5.337 5.337 8.575 90.00 90.00 120.00
Fractional coordinates of all 18 atoms:
Tm 0.333 0.667 0.250
Tm 0.667 0.333 0.750
Cu 0.000 0.000 0.000
Cu 0.000 0.000 0.500
Ir 0.333 0.667 0.750
Ir 0.667 0.333 0.250
O 0.037 0.364 0.623
O 0.037 0.674 0.877
O 0.326 0.364 0.877
O 0.326 0.963 0.623
O 0.364 0.037 0.123
O 0.364 0.326 0.377
O 0.636 0.674 0.623
O 0.636 0.963 0.877
O 0.674 0.037 0.377
O 0.674 0.636 0.123
O 0.963 0.326 0.123
O 0.963 0.636 0.377

=====

M_tot
In order: 3.46; 0.00; 0.00; 0.00; 0.00; 0.00; 0.00; 0.00; 0.00; 0.03; 0.00; 0.00
Unit: μB per cell